(P)
This record from Alexandria describes Ho4Tl3Ga after structural relaxation. The functional is PBE-GGA.

Volume = 206.8 Å³/cell

Cell: 3.660 3.660 15.438 Å, 90.00 90.00 90.00°
Element x y z (fractional)
Ho: 0.000 0.000 0.888
Ho: 0.000 0.000 0.370
Tl: 0.500 0.500 0.758
Ho: 0.000 0.000 0.112
Tl: 0.500 0.500 0.500
Ga: 0.500 0.500 0.000
Ho: 0.000 0.000 0.630
Tl: 0.500 0.500 0.242

=====

(Q)
This record from Alexandria describes Ho4Tl3Ga after structural relaxation. The functional is PBE-GGA.

Volume = 218.1 Å³/cell

Cell: 4.503 4.274 11.332 Å, 90.00 90.00 90.00°
Element x y z (fractional)
Ho: 0.500 0.000 0.637
Tl: 0.000 0.000 0.406
Tl: 0.000 0.500 0.596
Tl: 0.500 0.000 0.916
Ho: 0.000 0.500 0.872
Ga: 0.500 0.500 0.087
Ho: 0.000 0.000 0.133
Ho: 0.500 0.500 0.353

=====

Most stable structure - (P); separation to the second - 30 meV/atom.

=====

(P)
This record from Alexandria describes Ho4Tl2Ga after structural relaxation. The functional is PBE-GGA.

Volume = 198.0 Å³/cell

Cell: 5.189 5.189 9.003 Å, 73.25 73.25 60.00°
Element x y z (fractional)
Ho: 0.122 0.122 0.633
Tl: 0.245 0.245 0.266
Ga: 0.000 0.000 0.000
Ho: 0.374 0.374 0.877
Ho: 0.626 0.626 0.123
Ho: 0.878 0.878 0.367
Tl: 0.755 0.755 0.734

=====

(Q)
This record from Alexandria describes Ho4Tl2Ga after structural relaxation. The functional is PBE-GGA.

Volume = 399.5 Å³/cell

Cell: 8.345 8.352 8.355 Å, 130.94 100.47 99.55°
Element x y z (fractional)
Ho: 0.909 0.151 0.243
Ho: 0.341 0.599 0.257
Ho: 0.314 0.046 0.267
Ga: 0.131 0.128 0.002
Tl: 0.625 0.875 0.250
Ho: 0.909 0.665 0.757
Ho: 0.341 0.085 0.742
Ho: 0.784 0.050 0.736
Ho: 0.466 0.700 0.765
Ga: 0.119 0.622 0.498
Tl: 0.625 0.375 0.750
Tl: 0.625 0.375 0.250
Tl: 0.125 0.375 0.750
Ho: 0.936 0.704 0.233

=====

Most stable structure - (P); separation to the second - 42 meV/atom.

=====

(P)
This record from Alexandria describes Ho6Tl5Ga after structural relaxation. The functional is PBE-GGA.

Volume = 339.6 Å³/cell

Cell: 6.496 9.454 7.400 Å, 50.30 81.25 76.23°
Element x y z (fractional)
Tl: 0.500 0.500 0.000
Ho: 0.264 0.224 0.000
Ga: 0.000 0.000 0.000
Ho: 0.230 0.928 0.678
Ho: 0.230 0.606 0.322
Tl: 0.500 0.191 0.617
Ho: 0.770 0.394 0.678
Tl: 0.500 0.809 0.383
Ho: 0.736 0.776 0.000
Ho: 0.770 0.072 0.322
Tl: 0.000 0.351 0.298
Tl: 0.000 0.649 0.702

=====

(Q)
This record from Alexandria describes Ho6Tl5Ga after structural relaxation. The functional is PBE-GGA.

Volume = 315.4 Å³/cell

Cell: 5.331 7.400 8.429 Å, 90.00 71.56 90.00°
Element x y z (fractional)
Ho: 0.838 0.246 0.323
Tl: 0.000 0.500 0.000
Tl: 0.670 0.000 0.661
Tl: 0.668 0.500 0.663
Ho: 0.500 0.759 0.000
Ho: 0.500 0.241 0.000
Ho: 0.162 0.754 0.677
Ho: 0.162 0.246 0.677
Ga: 0.000 0.000 0.000
Tl: 0.330 0.000 0.339
Ho: 0.838 0.754 0.323
Tl: 0.332 0.500 0.337

=====

Most stable structure - (Q); separation to the second - 81 meV/atom.

=====

(P)
This record from Alexandria describes Ho2TmGa after structural relaxation. The functional is PBE-GGA.

Volume = 119.4 Å³/cell

Cell: 3.455 3.455 11.716 Å, 81.52 81.52 60.00°
Element x y z (fractional)
Ga: 0.000 0.000 0.000
Tm: 0.500 0.500 0.500
Ho: 0.914 0.914 0.258
Ho: 0.086 0.086 0.742

=====

(Q)
This record from Alexandria describes Ho2TmGa after structural relaxation. The functional is PBE-GGA.

Volume = 107.7 Å³/cell

Cell: 3.491 3.491 8.838 Å, 90.00 90.00 90.00°
Element x y z (fractional)
Ga: 0.500 0.500 0.000
Ho: 0.000 0.000 0.789
Tm: 0.500 0.500 0.500
Ho: 0.000 0.000 0.211

=====

Most stable structure - (Q); separation to the second - 410 meV/atom.

=====

(P)
This record from Alexandria describes HoTmGa after structural relaxation. The functional is PBE-GGA.

Volume = 84.0 Å³/cell

Cell: 4.916 4.916 4.916 Å, 60.00 60.00 60.00°
Element x y z (fractional)
Ho: 0.500 0.500 0.500
Tm: 0.000 0.000 0.000
Ga: 0.250 0.250 0.250

=====

(Q)
This record from Alexandria describes HoTmGa after structural relaxation. The functional is PBE-GGA.

Volume = 160.2 Å³/cell

Cell: 3.548 3.548 14.691 Å, 90.00 90.00 120.00°
Element x y z (fractional)
Ho: 0.333 0.667 0.403
Ho: 0.667 0.333 0.597
Tm: 0.667 0.333 0.209
Tm: 0.333 0.667 0.791
Ga: 0.667 0.333 0.941
Ga: 0.333 0.667 0.059

=====

Most stable structure - (P); separation to the second - 115 meV/atom.

=====

(P)
This record from Alexandria describes HoTmGa after structural relaxation. The functional is PBE-GGA.

Volume = 75.9 Å³/cell

Cell: 3.603 4.932 4.932 Å, 120.00 90.00 90.00°
Element x y z (fractional)
Tm: 0.409 0.333 0.667
Ho: 0.943 0.000 0.000
Ga: 0.648 0.667 0.333

=====

(Q)
This record from Alexandria describes HoTmGa after structural relaxation. The functional is PBE-GGA.

Volume = 150.2 Å³/cell

Cell: 3.628 5.111 8.303 Å, 90.03 102.63 90.00°
Element x y z (fractional)
Ho: 0.852 0.526 0.391
Ho: 0.008 0.025 0.702
Ga: 0.508 0.525 0.702
Tm: 0.706 0.026 0.099
Ga: 0.352 0.026 0.391
Tm: 0.154 0.525 0.994

=====

Most stable structure - (Q); separation to the second - 124 meV/atom.